12
Lattice="-1.059 0.037 4.289 4.076 -1.223 1.017 0.877 10.851 0.122" Properties=species:S:1:pos:R:3 comment="V2Mo7W3, optimized geometry, DFT PBE" dos_ef_per_ev_fu=9.16 formation_enthalpy_0k_mev_per_atom=387.0 pbc="T T T"
Mo 3.984 8.103 3.188
Mo 2.474 0.920 0.603
Mo 2.479 8.708 0.536
Mo 0.000 0.000 0.000
Mo 3.294 3.802 0.780
Mo 1.658 5.826 0.358
Mo -0.090 1.562 2.239
V 0.854 2.999 0.185
V 4.099 6.629 0.954
W 1.509 -0.593 2.653
W 2.378 2.460 2.841
W 1.517 7.206 2.587

80
Lattice="-2.830 -10.378 8.067 9.287 -3.711 -8.987 4.707 10.232 7.344" Properties=species:S:1:pos:R:3 comment="Ca12Cu3O5, optimized geometry, DFT PBE" dos_ef_per_ev_fu=8.04 energy_ev_per_cell=-352.37 pbc="T T T"
O 4.644 -1.856 -4.493
O 3.157 0.706 11.353
O 0.000 0.000 0.000
O -1.415 -5.189 4.033
O 4.306 -0.131 -0.526
O 7.534 -7.175 -0.986
O 3.630 3.318 7.410
O 2.788 -3.614 9.402
O 5.447 -6.266 3.187
O 5.582 -1.929 3.212
O 9.315 -0.317 4.728
O 8.007 -4.563 -4.929
O 6.997 3.260 -0.821
O 5.717 2.409 3.237
O 2.353 5.116 3.672
O 3.229 -7.045 -0.460
O 8.377 -0.244 -2.978
O 1.849 -3.541 1.696
O 6.859 -3.726 6.950
O 0.939 -0.073 7.706
Ca 0.517 -0.948 5.383
Ca 10.647 -2.909 1.041
Ca 8.996 4.694 -0.289
Ca 7.144 2.342 1.518
Ca 7.474 -7.060 3.695
Ca 6.016 -4.263 2.375
Ca 6.102 -11.636 -1.358
Ca 8.170 0.744 6.328
Ca -0.799 -7.538 4.698
Ca 3.690 3.203 2.729
Ca 0.956 -4.884 3.243
Ca 2.416 0.524 0.473
Ca 6.885 3.685 4.651
Ca 7.488 6.709 2.557
Ca 7.127 -2.117 8.477
Ca 4.021 -6.199 4.907
Ca 8.507 -1.966 -1.560
Ca 4.279 -7.543 1.773
Ca 5.062 7.779 7.783
Ca 5.462 -6.506 -1.489
Ca 10.209 1.027 3.182
Ca 9.899 -0.272 -4.614
Ca 8.595 1.452 -1.538
Ca 8.805 -3.257 -6.558
Ca 5.149 0.406 4.049
Ca 5.771 -1.134 0.831
Ca 2.360 -0.600 12.983
Ca 3.527 4.957 5.893
Ca 11.963 3.680 1.726
Ca 7.637 -8.814 0.531
Ca 5.393 -2.723 5.593
Ca 4.037 -1.740 -2.053
Ca 2.755 1.375 6.736
Ca 8.748 -4.381 5.952
Ca 2.994 -4.601 0.097
Ca -0.658 -4.439 6.314
Ca 6.163 -3.783 -3.935
Ca 5.702 2.649 7.913
Ca 2.168 -8.552 6.714
Ca 11.822 0.582 0.110
Ca 2.570 -5.309 7.962
Ca 3.676 -10.566 3.867
Ca 1.265 -3.585 11.038
Ca 2.657 -1.891 7.984
Ca 8.074 -1.633 3.416
Ca 8.409 -5.232 -0.312
Ca 3.091 -2.224 3.008
Ca 5.001 -0.074 10.359
Cu 6.086 6.728 5.188
Cu 5.244 -0.204 7.180
Cu 2.318 -3.577 5.549
Cu 1.949 -7.896 3.598
Cu 9.215 4.039 2.826
Cu 8.846 -0.280 0.875
Cu 5.078 -10.585 1.236
Cu 5.920 -3.653 -0.756
Cu -0.138 -6.987 7.771
Cu 2.219 0.779 3.647
Cu 8.946 -4.636 2.777
Cu 11.303 3.130 -1.347